(1)
Computed, not measured: a relaxed structure of BaCo2Cu at the PBE level of DFT.

Calculated values
Crystal system = monoclinic

abc: 5.6083 9.4301 3.2439
angles: 90.00 121.39 90.00
Fractional coordinates of all 8 atoms:
Ba: 0.0000 0.0000 0.0000
Ba: 0.5000 0.5000 0.0000
Co: 0.2500 0.2500 0.5000
Co: 0.2500 0.7500 0.5000
Co: 0.7500 0.2500 0.5000
Co: 0.7500 0.7500 0.5000
Cu: 0.0000 0.5000 0.0000
Cu: 0.5000 0.0000 0.0000



(2)
Computed, not measured: a relaxed structure of BaCo2Cu at the PBE level of DFT.

Calculated values
Crystal system = monoclinic

abc: 4.5666 3.9711 5.1211
angles: 90.00 100.86 90.00
Fractional coordinates of all 4 atoms:
Ba: 0.0000 0.0000 0.0000
Co: 0.2331 0.5000 0.5530
Co: 0.4542 0.0000 0.5251
Cu: 0.7193 0.5000 0.4354



(3)
Computed, not measured: a relaxed structure of BaCo2Cu at the PBE level of DFT.

Calculated values
Crystal system = tetragonal

abc: 4.1520 4.1520 4.2411
angles: 90.00 90.00 90.00
Fractional coordinates of all 4 atoms:
Ba: 0.0000 0.0000 0.0000
Co: 0.0000 0.5000 0.5000
Co: 0.5000 0.0000 0.5000
Cu: 0.5000 0.5000 0.0000



(4)
Computed, not measured: a relaxed structure of BaCo2Cu at the PBE level of DFT.

Calculated values
Crystal system = tetragonal

abc: 4.1452 4.1452 8.6707
angles: 90.00 90.00 90.00
Fractional coordinates of all 8 atoms:
Ba: 0.0000 0.0000 0.0000
Ba: 0.5000 0.5000 0.5000
Co: 0.0000 0.5000 0.2500
Co: 0.0000 0.5000 0.7500
Co: 0.5000 0.0000 0.2500
Co: 0.5000 0.0000 0.7500
Cu: 0.0000 0.0000 0.5000
Cu: 0.5000 0.5000 0.0000



(5)
Computed, not measured: a relaxed structure of BaCoCu3 at the PBE level of DFT.

Calculated values
Crystal system = cubic

abc: 5.4758 5.4758 5.4758
angles: 90.00 90.00 90.00
Fractional coordinates of all 5 atoms:
Ba: 0.0000 0.0000 0.0000
Co: 0.5000 0.5000 0.5000
Cu: 0.0000 0.0000 0.5000
Cu: 0.0000 0.5000 0.0000
Cu: 0.5000 0.0000 0.0000



Energy readings, ordered: -4.101 -4.571 -4.110 -4.111 -2.314 eV per atom
Calculated formation energy readings, ordered: 0.96 0.49 0.95 0.95 1.95 eV per atom